A plane-wave DFT calculation with SCAN was carried out for a crystal of NaSbSe3 relaxed with PBEsol. Values from VASP.

Its distance to the lowest polymorph of the same formula is 357 kJ/mol of formula units. For the total DFT energy (no corrections), the calculation gives -98.59 eV per cell. The density of states at the Fermi level comes out at 4.94 states/eV per cell. The calculation puts the volume at 24.814 A^3/atom.

The structure in Quantum ESPRESSO input format:
```
&SYSTEM
  ibrav = 0, nat = 5, ntyp = 3
/
ATOMIC_SPECIES
Se 78.96 Se.upf
Na 22.99 Na.upf
Sb 121.76 Sb.upf
CELL_PARAMETERS angstrom
4.988 0.000 0.000
0.000 4.988 0.000
0.000 0.000 4.988
ATOMIC_POSITIONS crystal
Se 0.000 0.500 0.000
Na 0.000 0.000 0.000
Se 0.000 0.000 0.500
Sb 0.500 0.500 0.500
Se 0.500 0.000 0.000
```